DFT (PBE-GGA) results for BaCd2Bi2 after structural relaxation.

Properties
As for the crystal system: tetragonal. The formation enthalpy at 0 K is -405 meV per atom. The total energy comes out at -2.708 eV per atom. Its total moment is 0.00 μB/atom.

```
BaCd2Bi2
1.0
-2.6382 2.6382 5.9835
2.6382 -2.6382 5.9835
2.6382 2.6382 -5.9835
Ba Cd Bi
1 2 2
Direct
0.0000 0.0000 0.0000
0.3855 0.3855 0.0000
0.6145 0.6145 0.0000
0.2500 0.7500 0.5000
0.7500 0.2500 0.5000
```